First-principles (PBE-GGA) data for Ir2RuW after structural relaxation, as listed in Alexandria.

## Properties
Relative energy among the computed polymorphs (meV/atom): 106
Energy (eV per atom): -10.15

abc: 2.7454 3.8989 5.4961
angles: 90.00 90.00 90.00
Closest atoms and distances in Å follow each position.
Space group Pmmm (No. 47)
Unique sites:
Ir (0.0000, 0.0000, 0.2445)  4 Ir 2.69-2.81, 4 Ru 2.74, 4 W 2.77
Ru (0.5000, 0.5000, 0.0000)  8 Ir 2.74, 2 Ru 2.75, 2 W 2.75
W (0.5000, 0.5000, 0.5000)  2 W 2.75, 2 Ru 2.75, 8 Ir 2.77



First-principles (PBE-GGA) data for Tb5Pr2HoSc after structural relaxation, as listed in Alexandria.

## Properties
Energy (eV per atom): -4.70

abc: 5.5685 20.2035 10.4051
angles: 90.00 90.00 90.00
Closest atoms and distances in Å follow each position.
Space group Cmc2_1 (No. 36)
Unique sites:
Tb (0.0000, 0.0150, 0.0000)  2 Ho 3.26, 3 Pr 3.35-3.55, 1 Sc 3.64
Tb (0.0000, 0.2746, 0.3053)  1 Ho 3.04, 1 Pr 3.25, 2 Tb 3.37
Tb (0.0000, 0.2972, 0.6864)  1 Ho 3.33, 3 Tb 3.37-3.64, 2 Sc 3.40, 3 Pr 3.51-3.69
Tb (0.0000, 0.3730, 0.0040)  4 Pr 3.53-3.59, 1 Sc 3.59, 4 Tb 3.64-3.71
Tb (0.0000, 0.4841, 0.7276)  2 Ho 3.18-3.32, 2 Pr 3.49
Pr (0.0000, 0.1139, 0.2978)  8 Tb 3.25-3.53, 1 Sc 3.52
Pr (0.0000, 0.1154, 0.7204)  1 Sc 3.32, 7 Tb 3.49-3.69, 2 Ho 3.67
Ho (0.0000, 0.4061, 0.4463)  6 Tb 3.04-3.33
Sc (0.0000, 0.1954, 0.9990)  2 Pr 3.32-3.52, 7 Tb 3.40-3.64, 2 Ho 3.50